1.
The following is a DFT calculation (PBE-GGA) of an optimized crystal structure of Pm2Sn3Ge.

Geometry as extended XYZ:
```
12
Lattice="6.639 -4.679 0.000 6.639 4.679 0.000 0.000 0.000 5.736" Properties=species:S:1:pos:R:3 pbc="T T T"
Pm 4.732 2.893 4.302
Pm 8.546 2.893 4.302
Pm 4.732 -2.893 1.434
Pm 8.546 -2.893 1.434
Sn 6.639 3.901 1.434
Sn 4.284 0.000 0.000
Sn 4.284 0.000 2.868
Sn 8.994 0.000 0.000
Sn 8.994 0.000 2.868
Sn 6.639 -3.901 4.302
Ge 6.639 1.205 1.434
Ge 6.639 -1.205 4.302
```

Its density of states at the Fermi level is 6.778 states/eV per cell. The energy of formation is -261 meV per atom. As for the crystal system: orthorhombic.

2.
The following is a DFT calculation (PBE-GGA) of an optimized crystal structure of PmSnGe.

Geometry as extended XYZ:
```
6
Lattice="2.189 -8.458 0.000 2.189 8.458 0.000 0.000 0.000 4.107" Properties=species:S:1:pos:R:3 pbc="T T T"
Pm 2.189 6.844 3.080
Pm 2.189 -6.844 1.027
Sn 2.189 4.126 1.027
Sn 2.189 -4.126 3.080
Ge 2.189 0.853 3.080
Ge 2.189 -0.853 1.027
```

Its density of states at the Fermi level is 2.360 states/eV per cell. The energy of formation is -661 meV per atom. The calculation puts the relative energy among the computed polymorphs at 0 meV per atom. As for the crystal system: orthorhombic.

3.
The following is a DFT calculation (PBE-GGA) of an optimized crystal structure of Pm2Sn4Ge.

Geometry as extended XYZ:
```
7
Lattice="-3.147 3.147 4.928 3.147 -3.147 4.928 3.147 3.147 -4.928" Properties=species:S:1:pos:R:3 pbc="T T T"
Pm 3.147 0.000 0.000
Pm 0.000 3.147 0.000
Sn 1.574 1.574 -2.464
Sn 1.574 -1.574 2.464
Sn -1.574 1.574 2.464
Sn 1.574 1.574 2.464
Ge 0.000 0.000 0.000
```

Its density of states at the Fermi level is 3.566 states/eV per cell. The energy of formation is -443 meV per atom. The calculation puts the relative energy among the computed polymorphs at 0 meV per atom. As for the crystal system: tetragonal.

Which total magnetic moment belongs to each record? In order, 0.0000; 0.0000; 0.0000 μB/atom.
Which energy belongs to each record? In order, -4.62; -5.12; -4.75 eV per atom.